InAgAu | GGA-PBE | relaxed

abc: 9.1891 3.1206 8.8714
angles: 90.00 90.45 90.00
With the nearest neighbours (Å) after each atom.
Space group C2/m (No. 12)
Symmetry-distinct sites (fractional):
In 0.1339 0.0000 0.1033 (multiplicity 4)  4 Au 2.83-3.14, 1 Ag 2.87, 3 In 3.06-3.12
Ag 0.1355 0.0000 0.4273 (multiplicity 4)  5 Ag 2.81-3.12, 4 Au 2.86-3.05, 1 In 2.87
Au 0.1381 0.0000 0.7499 (multiplicity 4)  4 In 2.83-3.14, 4 Ag 2.86-3.05, 2 Au 3.12

Properties
ΔE to the lowest computed polymorph ... 0.119 eV/atom

SrSn3B4O12 | GGA-PBE | relaxed

abc: 10.0888 10.0888 8.4731
angles: 90.00 90.00 120.00
With the nearest neighbours (Å) after each atom.
Space group R32 (No. 155, hexagonal axes)
Symmetry-distinct sites (fractional):
Sr 0.0000 0.0000 0.0000 (multiplicity 3)  6 O 2.55
Sn 0.0000 0.5372 0.0000 (multiplicity 9)  6 O 2.15-2.25
B 0.0000 0.0000 0.5000 (multiplicity 3)  3 O 1.39
B 0.0000 0.4575 0.5000 (multiplicity 9)  3 O 1.37-1.42
O 0.0000 0.5983 0.5000 (multiplicity 9)  1 B 1.42
O 0.0000 0.8618 0.5000 (multiplicity 9)  1 B 1.39
O 0.0075 0.2022 0.1863 (multiplicity 18)  1 B 1.37

Properties
Raw formation energy ... -2.074 eV/atom

YCuNiHg | GGA-PBE | relaxed

abc: 6.5827 6.5827 6.5827
angles: 90.00 90.00 90.00
With the nearest neighbours (Å) after each atom.
Space group F-43m (No. 216)
Symmetry-distinct sites (fractional):
Y 0.0000 0.0000 0.0000 (multiplicity 4)  4 Cu 2.85, 4 Ni 2.85
Cu 0.2500 0.2500 0.7500 (multiplicity 4)  4 Hg 2.85, 4 Y 2.85
Ni 0.2500 0.2500 0.2500 (multiplicity 4)  4 Hg 2.85, 4 Y 2.85
Hg 0.0000 0.0000 0.5000 (multiplicity 4)  4 Ni 2.85, 4 Cu 2.85

Properties
DFT total energy ... -0.160 Ha/atom

BaH4O3 | GGA-PBE | relaxed

abc: 3.9691 7.5818 5.7269
angles: 90.00 90.00 90.00
With the nearest neighbours (Å) after each atom.
Space group Pmc2_1 (No. 26)
Symmetry-distinct sites (fractional):
Ba 0.0000 0.1872 0.0000 (multiplicity 2)  8 O 2.80-3.01, 2 H 2.91
H 0.1993 0.3904 0.4929 (multiplicity 4)  1 O 1.02
H 0.5000 0.0845 0.5909 (multiplicity 2)  1 O 0.98
H 0.5000 0.4713 0.7950 (multiplicity 2)  1 O 0.98
O 0.0000 0.3065 0.4989 (multiplicity 2)  2 H 1.02
O 0.5000 0.0177 0.7369 (multiplicity 2)  1 H 0.98
O 0.5000 0.4557 0.9654 (multiplicity 2)  1 H 0.98

Properties
ΔE to the lowest computed polymorph ... 0.011 eV/atom

Copy entry 4 word for word.
BaH4O3 | GGA-PBE | relaxed

abc: 3.9691 7.5818 5.7269
angles: 90.00 90.00 90.00
With the nearest neighbours (Å) after each atom.
Space group Pmc2_1 (No. 26)
Symmetry-distinct sites (fractional):
Ba 0.0000 0.1872 0.0000 (multiplicity 2)  8 O 2.80-3.01, 2 H 2.91
H 0.1993 0.3904 0.4929 (multiplicity 4)  1 O 1.02
H 0.5000 0.0845 0.5909 (multiplicity 2)  1 O 0.98
H 0.5000 0.4713 0.7950 (multiplicity 2)  1 O 0.98
O 0.0000 0.3065 0.4989 (multiplicity 2)  2 H 1.02
O 0.5000 0.0177 0.7369 (multiplicity 2)  1 H 0.98
O 0.5000 0.4557 0.9654 (multiplicity 2)  1 H 0.98

Properties
ΔE to the lowest computed polymorph ... 0.011 eV/atom